! Hg2SN2 | Alexandria | PBE | relaxed; values from VASP
! Uncorrected energy: -3.83 eV/atom
! Uncorrected formation energy: 444 meV/atom
! Polymorph energy (0 for the lowest one): 0.0 meV per atom
! Size of the total moment: 0.000 μB/atom
&SYSTEM
  ibrav = 0, nat = 5, ntyp = 3
/
ATOMIC_SPECIES
Hg 200.59 Hg.upf
N 14.01 N.upf
S 32.06 S.upf
CELL_PARAMETERS angstrom
-1.5007 -2.3347 -4.2568
4.1691 -2.9029 0.1224
-0.6303 -5.3480 0.1223
ATOMIC_POSITIONS crystal
Hg 0.2500 0.7500 0.5000
N 0.4301 0.4301 0.1399
S 0.0000 0.0000 0.0000
N 0.5699 0.5699 0.8601
Hg 0.7500 0.2500 0.5000

! Hg3SN | Alexandria | PBE | relaxed; values from VASP
! Uncorrected energy: -1.90 eV/atom
! Uncorrected formation energy: 768 meV/atom
! Polymorph energy (0 for the lowest one): 205.9 meV per atom
! Size of the total moment: 0.000 μB/atom
&SYSTEM
  ibrav = 0, nat = 5, ntyp = 3
/
ATOMIC_SPECIES
Hg 200.59 Hg.upf
S 32.06 S.upf
N 14.01 N.upf
CELL_PARAMETERS angstrom
4.7001 0.0000 0.0000
0.0000 4.7001 0.0000
0.0000 0.0000 4.7001
ATOMIC_POSITIONS crystal
Hg 0.5000 0.0000 0.0000
S 0.5000 0.5000 0.5000
Hg 0.0000 0.0000 0.5000
Hg 0.0000 0.5000 0.0000
N 0.0000 0.0000 0.0000

! HgSN2 | Alexandria | PBE | relaxed; values from VASP
! Uncorrected energy: -2.90 eV/atom
! Uncorrected formation energy: 2372 meV/atom
! Polymorph energy (0 for the lowest one): 1189.2 meV per atom
! Size of the total moment: 0.000 μB/atom
&SYSTEM
  ibrav = 0, nat = 4, ntyp = 3
/
ATOMIC_SPECIES
N 14.01 N.upf
Hg 200.59 Hg.upf
S 32.06 S.upf
CELL_PARAMETERS angstrom
-2.5146 2.2466 2.3823
-2.7221 2.5789 -1.7277
-4.0349 -0.8645 0.1338
ATOMIC_POSITIONS crystal
N 0.7500 0.7500 0.7500
N 0.2500 0.2500 0.2500
Hg 0.5000 0.5000 0.5000
S 0.0000 0.0000 0.0000

! HgSN2 | Alexandria | PBE | relaxed; values from VASP
! Uncorrected energy: -4.08 eV/atom
! Uncorrected formation energy: 1190 meV/atom
! Polymorph energy (0 for the lowest one): 7.6 meV per atom
! Size of the total moment: 0.000 μB/atom
&SYSTEM
  ibrav = 0, nat = 4, ntyp = 3
/
ATOMIC_SPECIES
Hg 200.59 Hg.upf
N 14.01 N.upf
S 32.06 S.upf
CELL_PARAMETERS angstrom
2.1660 0.0000 5.8945
-1.0830 1.8758 5.8945
-1.0830 -1.8758 5.8945
ATOMIC_POSITIONS crystal
Hg 0.5000 0.5000 0.5000
N 0.0880 0.0880 0.0880
S 0.0000 0.0000 0.0000
N 0.9120 0.9120 0.9120

! Hg2SN2 | Alexandria | PBE | relaxed; values from VASP
! Uncorrected energy: -2.84 eV/atom
! Uncorrected formation energy: 1436 meV/atom
! Polymorph energy (0 for the lowest one): 992.4 meV per atom
! Size of the total moment: 0.000 μB/atom
&SYSTEM
  ibrav = 0, nat = 10, ntyp = 3
/
ATOMIC_SPECIES
N 14.01 N.upf
Hg 200.59 Hg.upf
S 32.06 S.upf
CELL_PARAMETERS angstrom
6.4596 0.0000 0.0000
0.0000 6.4596 0.0000
0.0000 0.0000 4.0686
ATOMIC_POSITIONS crystal
N 0.7735 0.2735 0.0000
N 0.7265 0.7735 0.0000
N 0.2265 0.7265 0.0000
Hg 0.8391 0.3391 0.5000
S 0.5000 0.5000 0.0000
Hg 0.3391 0.1609 0.5000
N 0.2735 0.2265 0.0000
Hg 0.1609 0.6609 0.5000
S 0.0000 0.0000 0.0000
Hg 0.6609 0.8391 0.5000

! HgSN3 | Alexandria | PBE | relaxed; values from VASP
! Uncorrected energy: -2.84 eV/atom
! Uncorrected formation energy: 3045 meV/atom
! Size of the total moment: 0.836 μB/atom
&SYSTEM
  ibrav = 0, nat = 5, ntyp = 3
/
ATOMIC_SPECIES
N 14.01 N.upf
Hg 200.59 Hg.upf
S 32.06 S.upf
CELL_PARAMETERS angstrom
4.2984 0.0000 0.0000
0.0000 4.2984 0.0000
0.0000 0.0000 4.2984
ATOMIC_POSITIONS crystal
N 0.5000 0.0000 0.0000
N 0.0000 0.0000 0.5000
Hg 0.0000 0.0000 0.0000
S 0.5000 0.5000 0.5000
N 0.0000 0.5000 0.0000

! HgSbSN2 | Alexandria | PBE | relaxed; values from VASP
! Uncorrected energy: -3.20 eV/atom
! Uncorrected formation energy: 1841 meV/atom
! Polymorph energy (0 for the lowest one): 676.7 meV per atom
! Size of the total moment: 0.377 μB/atom
&SYSTEM
  ibrav = 0, nat = 5, ntyp = 4
/
ATOMIC_SPECIES
Hg 200.59 Hg.upf
N 14.01 N.upf
S 32.06 S.upf
Sb 121.76 Sb.upf
CELL_PARAMETERS angstrom
-3.6929 1.7463 1.2691
-2.0420 -3.6415 -0.9311
0.8467 -1.7046 4.8095
ATOMIC_POSITIONS crystal
Hg 0.0000 0.0000 0.0000
N 0.5000 0.0000 0.0000
S 0.0000 0.0000 0.5000
Sb 0.5000 0.5000 0.5000
N 0.0000 0.5000 0.0000

! HgSbSN2 | Alexandria | PBE | relaxed; values from VASP
! Uncorrected energy: -3.88 eV/atom
! Uncorrected formation energy: 1164 meV/atom
! Polymorph energy (0 for the lowest one): 0.0 meV per atom
! Size of the total moment: 0.144 μB/atom
&SYSTEM
  ibrav = 0, nat = 5, ntyp = 4
/
ATOMIC_SPECIES
Hg 200.59 Hg.upf
N 14.01 N.upf
Sb 121.76 Sb.upf
S 32.06 S.upf
CELL_PARAMETERS angstrom
-0.7460 -3.3196 2.0787
1.4802 -2.1981 -2.9790
5.1509 0.3044 2.3347
ATOMIC_POSITIONS crystal
Hg 0.5000 0.5000 0.5000
N 0.5000 0.0000 0.0000
Sb 0.0000 0.0000 0.0000
N 0.0000 0.5000 0.0000
S 0.0000 0.0000 0.5000

! ScHgSN2 | Alexandria | PBE | relaxed; values from VASP
! Uncorrected energy: -4.87 eV/atom
! Uncorrected formation energy: 613 meV/atom
! Polymorph energy (0 for the lowest one): 0.0 meV per atom
! Size of the total moment: 0.685 μB/atom
&SYSTEM
  ibrav = 0, nat = 5, ntyp = 4
/
ATOMIC_SPECIES
Hg 200.59 Hg.upf
S 32.06 S.upf
N 14.01 N.upf
Sc 44.96 Sc.upf
CELL_PARAMETERS angstrom
4.2425 0.0000 0.0000
0.0000 4.2425 0.0000
0.0000 0.0000 5.2484
ATOMIC_POSITIONS crystal
Hg 0.5000 0.5000 0.5000
S 0.0000 0.0000 0.5000
N 0.5000 0.0000 0.0000
Sc 0.0000 0.0000 0.0000
N 0.0000 0.5000 0.0000

! ScHgS2N | Alexandria | PBE | relaxed; values from VASP
! Uncorrected energy: -3.94 eV/atom
! Uncorrected formation energy: 698 meV/atom
! Polymorph energy (0 for the lowest one): 603.9 meV per atom
! Size of the total moment: 0.193 μB/atom
&SYSTEM
  ibrav = 0, nat = 5, ntyp = 4
/
ATOMIC_SPECIES
S 32.06 S.upf
Sc 44.96 Sc.upf
Hg 200.59 Hg.upf
N 14.01 N.upf
CELL_PARAMETERS angstrom
-2.9607 -0.0068 4.0723
-2.1238 -4.2933 -1.5512
2.8342 -2.1452 2.0570
ATOMIC_POSITIONS crystal
S 0.5000 0.0000 0.0000
Sc 0.5000 0.5000 0.5000
Hg 0.0000 0.0000 0.0000
S 0.0000 0.5000 0.0000
N 0.0000 0.0000 0.5000

! ScHgS2N | Alexandria | PBE | relaxed; values from VASP
! Uncorrected energy: -4.55 eV/atom
! Uncorrected formation energy: 94 meV/atom
! Polymorph energy (0 for the lowest one): 0.0 meV per atom
! Size of the total moment: 0.434 μB/atom
&SYSTEM
  ibrav = 0, nat = 5, ntyp = 4
/
ATOMIC_SPECIES
Sc 44.96 Sc.upf
Hg 200.59 Hg.upf
S 32.06 S.upf
N 14.01 N.upf
CELL_PARAMETERS angstrom
-0.2031 0.8385 4.9675
1.0057 -4.8647 0.8622
4.1080 0.8535 0.0239
ATOMIC_POSITIONS crystal
Sc 0.0000 0.0000 0.0000
Hg 0.5000 0.5000 0.5000
S 0.0000 0.5000 0.0000
N 0.0000 0.0000 0.5000
S 0.5000 0.0000 0.0000

! ScHgSN2 | Alexandria | PBE | relaxed; values from VASP
! Uncorrected energy: -4.24 eV/atom
! Uncorrected formation energy: 1244 meV/atom
! Polymorph energy (0 for the lowest one): 631.4 meV per atom
! Size of the total moment: 0.300 μB/atom
&SYSTEM
  ibrav = 0, nat = 5, ntyp = 4
/
ATOMIC_SPECIES
S 32.06 S.upf
Sc 44.96 Sc.upf
N 14.01 N.upf
Hg 200.59 Hg.upf
CELL_PARAMETERS angstrom
4.1535 0.0000 0.0000
0.0000 4.1535 0.0000
0.0000 0.0000 5.0956
ATOMIC_POSITIONS crystal
S 0.0000 0.0000 0.5000
Sc 0.5000 0.5000 0.5000
N 0.0000 0.5000 0.0000
N 0.5000 0.0000 0.0000
Hg 0.0000 0.0000 0.0000